Density functional theory data (GGA-PBE) for a relaxed structure of MgCdGa2Ge.

a b c (Å): 5.045 5.285 5.045
angles (deg): 90.00 90.00 90.00
Fractional coordinates of all 5 atoms:
1 Cd 0.000 0.000 0.000
2 Ge 0.500 0.500 0.500
3 Mg 0.000 0.500 0.000
4 Ga 0.000 0.000 0.500
5 Ga 0.500 0.000 0.000

uncorrected energy: -2.044 eV per atom
total magnetic moment: 0.000 μB/cell

=====

Density functional theory data (GGA-PBE) for a relaxed structure of Li2Sm2Co15.

a b c (Å): 6.305 6.305 6.305
angles (deg): 83.85 83.85 83.85
Last column: magnetic moment on the atom in μB.
Fractional coordinates of all 19 atoms:
1 Sm 0.344 0.344 0.344  -0.26
2 Sm 0.656 0.656 0.656  -0.26
3 Co 0.654 0.654 0.156  1.45
4 Co 0.500 0.000 0.000  1.52
5 Co 0.000 0.290 0.710  1.54
6 Co 0.000 0.000 0.500  1.52
7 Co 0.290 0.710 0.000  1.54
8 Co 0.844 0.346 0.346  1.45
9 Co 0.346 0.844 0.346  1.45
10 Co 0.156 0.654 0.654  1.45
11 Co 0.000 0.500 0.000  1.52
12 Co 0.654 0.156 0.654  1.45
13 Co 0.710 0.290 0.000  1.54
14 Co 0.290 0.000 0.710  1.54
15 Co 0.000 0.710 0.290  1.54
16 Co 0.710 0.000 0.290  1.54
17 Co 0.346 0.346 0.844  1.45
18 Li 0.096 0.096 0.096  -0.07
19 Li 0.904 0.904 0.904  -0.07

uncorrected energy: -6.357 eV per atom
total magnetic moment: 21.019 μB/cell

=====

Density functional theory data (GGA-PBE) for a relaxed structure of Pm2PrRh3.

a b c (Å): 5.001 5.001 6.123
angles (deg): 90.00 90.00 120.00
Fractional coordinates of all 6 atoms:
1 Pr 0.000 0.000 0.000
2 Rh 0.333 0.667 0.171
3 Rh 0.667 0.333 0.829
4 Rh 0.000 0.000 0.500
5 Pm 0.333 0.667 0.666
6 Pm 0.667 0.333 0.334

uncorrected energy: -6.712 eV per atom
total magnetic moment: 0.000 μB/cell

=====

Density functional theory data (GGA-PBE) for a relaxed structure of Ac3Nd3Tl2Co.

a b c (Å): 3.973 9.134 9.134
angles (deg): 120.00 90.00 90.00
Fractional coordinates of all 9 atoms:
1 Ac 0.500 0.236 0.236
2 Ac 0.500 0.000 0.764
3 Ac 0.500 0.764 0.000
4 Co 0.000 0.000 0.000
5 Nd 0.000 0.406 0.000
6 Nd 0.000 0.000 0.406
7 Nd 0.000 0.594 0.594
8 Tl 0.500 0.667 0.333
9 Tl 0.500 0.333 0.667

uncorrected energy: -4.455 eV per atom
total magnetic moment: 0.000 μB/cell

=====

Density functional theory data (GGA-PBE) for a relaxed structure of Cs3Rb2Au2.

a b c (Å): 9.389 9.389 9.983
angles (deg): 84.47 84.47 30.90
Fractional coordinates of all 7 atoms:
1 Cs 0.315 0.315 0.781
2 Cs 0.685 0.685 0.219
3 Cs 0.000 0.000 0.000
4 Rb 0.412 0.412 0.380
5 Rb 0.588 0.588 0.620
6 Au 0.951 0.951 0.628
7 Au 0.049 0.049 0.372

uncorrected energy: -1.763 eV per atom
total magnetic moment: 0.000 μB/cell

=====

Density functional theory data (GGA-PBE) for a relaxed structure of Pm7SmY4.

a b c (Å): 6.036 11.723 6.768
angles (deg): 83.58 63.52 75.08
Fractional coordinates of all 12 atoms:
1 Pm 0.939 0.324 0.798
2 Pm 0.370 0.502 0.759
3 Pm 0.061 0.676 0.202
4 Pm 0.210 0.079 0.501
5 Pm 0.500 0.000 0.000
6 Pm 0.630 0.498 0.241
7 Pm 0.790 0.921 0.499
8 Sm 0.000 0.000 0.000
9 Y 0.753 0.682 0.812
10 Y 0.362 0.776 0.501
11 Y 0.638 0.224 0.499
12 Y 0.247 0.318 0.188

uncorrected energy: -5.076 eV per atom
total magnetic moment: 0.000 μB/cell